The following is a GGA-PBE calculation of a geometry-optimized As2OsRh structure, from Alexandria.

Output
- SG = Pmmm, No. 47
- calculated formation energy (meV per atom) = 435
- E_tot (eV per cell) = -26.14
- magnetization (μB/f.u.) = 0.00

abc: 3.0396 5.0910 4.0923
angles: 90.00 90.00 90.00
Atoms (fractional coordinates):
Os  0.5000  0.0000  0.5000
As  0.0000  0.0000  0.0000
As  0.5000  0.5000  0.0000
Rh  0.0000  0.5000  0.5000